No. 1
Density functional theory data (GGA-PBEsol) for a relaxed structure of MoP2Br.

The formation energy from raw total energies comes out at 0.83 eV/atom. The total magnetization is 1.5 μB per formula unit. The crystal system is tetragonal.

Cell and atoms, written as CIF:
```
data_MoP2Br
_cell_length_a 3.635
_cell_length_b 3.635
_cell_length_c 4.940
_cell_angle_alpha 90.00
_cell_angle_beta 90.00
_cell_angle_gamma 90.00
_space_group_name_H-M_alt 'P 4/m m m'
_space_group_IT_number 123
_space_group_name_Hall '-P 4 2'
loop_
_atom_site_label
_atom_site_fract_x
_atom_site_fract_y
_atom_site_fract_z
Mo1 0.000 0.000 0.000
P1 0.000 0.500 0.500
Br1 0.500 0.500 0.000
```

=====

No. 2
Density functional theory data (GGA-PBEsol) for a relaxed structure of Zr2TlRh.

The total magnetization is 0.0 μB per formula unit. The crystal system is tetragonal. The formation energy comes out at -0.4240 eV/atom.

Cell and atoms, written as CIF:
```
data_Zr2TlRh
_cell_length_a 3.080
_cell_length_b 3.080
_cell_length_c 8.183
_cell_angle_alpha 90.00
_cell_angle_beta 90.00
_cell_angle_gamma 90.00
_space_group_name_H-M_alt 'P 4/m m m'
_space_group_IT_number 123
_space_group_name_Hall '-P 4 2'
loop_
_atom_site_label
_atom_site_fract_x
_atom_site_fract_y
_atom_site_fract_z
Zr1 0.000 0.000 0.217
Tl1 0.500 0.500 0.500
Rh1 0.500 0.500 0.000
```

=====

No. 3
Density functional theory data (GGA-PBEsol) for a relaxed structure of FeCuPdO2.

The formation energy from raw total energies comes out at -0.08 eV/atom. The total magnetization is 0.1 μB per formula unit. The crystal system is tetragonal.

Cell and atoms, written as CIF:
```
data_FeCuPdO2
_cell_length_a 3.494
_cell_length_b 3.494
_cell_length_c 4.764
_cell_angle_alpha 90.00
_cell_angle_beta 90.00
_cell_angle_gamma 90.00
_space_group_name_H-M_alt 'P 4/m m m'
_space_group_IT_number 123
_space_group_name_Hall '-P 4 2'
loop_
_atom_site_label
_atom_site_fract_x
_atom_site_fract_y
_atom_site_fract_z
Fe1 0.000 0.000 0.000
Cu1 0.000 0.000 0.500
Pd1 0.500 0.500 0.500
O1 0.000 0.500 0.000
```

=====

No. 4
Density functional theory data (GGA-PBEsol) for a relaxed structure of Nd3Co13B2.

The total magnetization is 13.6 μB per formula unit. The crystal system is hexagonal. The formation energy comes out at -0.1616 eV/atom.

Cell and atoms, written as CIF:
```
data_Nd3Co13B2
_cell_length_a 4.9763
_cell_length_b 4.9763
_cell_length_c 10.6227
_cell_angle_alpha 90.00
_cell_angle_beta 90.00
_cell_angle_gamma 120.00
_space_group_name_H-M_alt 'P 6/m m m'
_space_group_IT_number 191
_space_group_name_Hall '-P 6 2'
loop_
_atom_site_label
_atom_site_fract_x
_atom_site_fract_y
_atom_site_fract_z
Nd1 0.0000 0.0000 0.0000
Nd2 0.0000 0.0000 0.3226
Co1 0.0000 0.5000 0.1359
Co2 0.0000 0.5000 0.5000
Co3 0.3333 0.6667 0.3190
B1 0.3333 0.6667 0.0000
```

=====

No. 5
Density functional theory data (GGA-PBEsol) for a relaxed structure of NbRu3.

The total magnetization is 0.0 μB per formula unit. The crystal system is hexagonal. The formation energy comes out at -0.0899 eV/atom.

Cell and atoms, written as CIF:
```
data_NbRu3
_cell_length_a 5.5151
_cell_length_b 5.5151
_cell_length_c 4.3471
_cell_angle_alpha 90.00
_cell_angle_beta 90.00
_cell_angle_gamma 120.00
_space_group_name_H-M_alt 'P 63/m m c'
_space_group_IT_number 194
_space_group_name_Hall '-P 6c 2c'
loop_
_atom_site_label
_atom_site_fract_x
_atom_site_fract_y
_atom_site_fract_z
Nb1 0.3333 0.6667 0.2500
Ru1 0.1651 0.3301 0.7500
```

=====

No. 6
Density functional theory data (GGA-PBEsol) for a relaxed structure of YMg2Sc.

The calculation puts the energy relative to the lowest polymorph listed for this composition at 10 kJ/mol of formula units. The total magnetization is 0.0 μB per formula unit. The crystal system is tetragonal. The formation energy comes out at -0.0352 eV/atom.

Cell and atoms, written as CIF:
```
data_YMg2Sc
_cell_length_a 3.305
_cell_length_b 3.305
_cell_length_c 9.117
_cell_angle_alpha 90.00
_cell_angle_beta 90.00
_cell_angle_gamma 90.00
_space_group_name_H-M_alt 'P 4 m m'
_space_group_IT_number 99
_space_group_name_Hall 'P 4 -2'
loop_
_atom_site_label
_atom_site_fract_x
_atom_site_fract_y
_atom_site_fract_z
Y1 0.000 0.000 0.000
Mg1 0.000 0.000 0.503
Mg2 0.500 0.500 0.733
Sc1 0.500 0.500 0.264
```

=====

No. 7
Density functional theory data (GGA-PBEsol) for a relaxed structure of SiTeW2.

The calculation puts the energy relative to the lowest polymorph listed for this composition at 44 kJ/mol of formula units. The formation energy from raw total energies comes out at 0.47 eV/atom. The total magnetization is 0.0 μB per formula unit. The crystal system is monoclinic.

Cell and atoms, written as CIF:
```
data_SiTeW2
_cell_length_a 8.677
_cell_length_b 3.051
_cell_length_c 5.136
_cell_angle_alpha 90.00
_cell_angle_beta 103.90
_cell_angle_gamma 90.00
_space_group_name_H-M_alt 'C 1 2/m 1'
_space_group_IT_number 12
_space_group_name_Hall '-C 2y'
loop_
_atom_site_label
_atom_site_fract_x
_atom_site_fract_y
_atom_site_fract_z
Si1 0.000 0.000 0.000
Te1 0.000 0.500 0.500
W1 0.227 0.500 0.227
```

=====

No. 8
Density functional theory data (GGA-PBEsol) for a relaxed structure of CaBeCl2.

The calculation puts the energy relative to the lowest polymorph listed for this composition at 47 kJ/mol of formula units. The formation energy from raw total energies comes out at -0.74 eV/atom. The total magnetization is 0.0 μB per formula unit. The crystal system is cubic.

Cell and atoms, written as CIF:
```
data_CaBeCl2
_cell_length_a 6.902
_cell_length_b 6.902
_cell_length_c 6.902
_cell_angle_alpha 90.00
_cell_angle_beta 90.00
_cell_angle_gamma 90.00
_space_group_name_H-M_alt 'F m -3 m'
_space_group_IT_number 225
_space_group_name_Hall '-F 4 2 3'
loop_
_atom_site_label
_atom_site_fract_x
_atom_site_fract_y
_atom_site_fract_z
Ca1 0.000 0.000 0.000
Be1 0.000 0.000 0.500
Cl1 0.250 0.250 0.250
```

=====

No. 9
Density functional theory data (GGA-PBEsol) for a relaxed structure of TaAlTe2.

The formation energy from raw total energies comes out at 0.46 eV/atom. The total magnetization is 0.0 μB per formula unit. The crystal system is tetragonal.

Cell and atoms, written as CIF:
```
data_TaAlTe2
_cell_length_a 4.247
_cell_length_b 4.247
_cell_length_c 9.292
_cell_angle_alpha 90.00
_cell_angle_beta 90.00
_cell_angle_gamma 90.00
_space_group_name_H-M_alt 'I -4 m 2'
_space_group_IT_number 119
_space_group_name_Hall 'I -4 -2'
loop_
_atom_site_label
_atom_site_fract_x
_atom_site_fract_y
_atom_site_fract_z
Ta1 0.000 0.000 0.000
Al1 0.000 0.500 0.750
Te1 0.000 0.000 0.500
Te2 0.000 0.500 0.250
```

=====

No. 10
Density functional theory data (GGA-PBEsol) for a relaxed structure of MgTi2O4.

The calculation puts the energy relative to the lowest polymorph listed for this composition at 22 kJ/mol of formula units. The formation energy from raw total energies comes out at -2.84 eV/atom. The total magnetization is 0.0 μB per formula unit. The crystal system is trigonal.

Cell and atoms, written as CIF:
```
data_MgTi2O4
_cell_length_a 5.8562
_cell_length_b 5.8562
_cell_length_c 15.1170
_cell_angle_alpha 90.00
_cell_angle_beta 90.00
_cell_angle_gamma 120.00
_space_group_name_H-M_alt 'R 3 m'
_space_group_IT_number 160
_space_group_name_Hall 'R 3 -2"'
loop_
_atom_site_label
_atom_site_fract_x
_atom_site_fract_y
_atom_site_fract_z
Mg1 0.0000 0.0000 0.0000
Mg2 0.0000 0.0000 0.3680
Ti1 0.0000 0.0000 0.7503
Ti2 0.1699 0.3398 0.2066
O1 0.0000 0.0000 0.1309
O2 0.0000 0.0000 0.6268
O3 0.0155 0.5077 0.1232
O4 0.1766 0.3533 0.9486
```

=====

No. 11
Density functional theory data (GGA-PBEsol) for a relaxed structure of SrTl3.

The total magnetization is 0.0 μB per formula unit. The crystal system is tetragonal. The formation energy comes out at -0.2446 eV/atom.

Cell and atoms, written as CIF:
```
data_SrTl3
_cell_length_a 4.004
_cell_length_b 4.004
_cell_length_c 7.414
_cell_angle_alpha 90.00
_cell_angle_beta 90.00
_cell_angle_gamma 90.00
_space_group_name_H-M_alt 'P 4/m m m'
_space_group_IT_number 123
_space_group_name_Hall '-P 4 2'
loop_
_atom_site_label
_atom_site_fract_x
_atom_site_fract_y
_atom_site_fract_z
Sr1 0.000 0.000 0.000
Tl1 0.000 0.000 0.500
Tl2 0.500 0.500 0.277
```

=====

No. 12
Density functional theory data (GGA-PBEsol) for a relaxed structure of CdSb2Te2.

The calculation puts the energy relative to the lowest polymorph listed for this composition at 12 kJ/mol of formula units. The formation energy from raw total energies comes out at 0.10 eV/atom. The total magnetization is 0.0 μB per formula unit. The crystal system is tetragonal.

Cell and atoms, written as CIF:
```
data_CdSb2Te2
_cell_length_a 6.033
_cell_length_b 6.033
_cell_length_c 8.804
_cell_angle_alpha 90.00
_cell_angle_beta 90.00
_cell_angle_gamma 90.00
_space_group_name_H-M_alt 'I 4/m m m'
_space_group_IT_number 139
_space_group_name_Hall '-I 4 2'
loop_
_atom_site_label
_atom_site_fract_x
_atom_site_fract_y
_atom_site_fract_z
Cd1 0.000 0.000 0.000
Sb1 0.000 0.000 0.314
Te1 0.000 0.500 0.250
```

=====

The evaluated ρ for the records listed, in turn: 6.05; 10.48; 7.36; 8.90; 11.49; 3.04; 13.17; 2.42; 9.18; 4.08; 9.79; 6.33 g cm⁻³.